Entry 1:
Material: YTcHg2
Method: DFT, GGA-PBEsol
State: optimized geometry

a b c (Å): 3.645 3.645 5.986
angles (deg): 90.00 90.00 90.00
Fractional coordinates of all 4 atoms:
Hg: 0.000 0.000 0.769
Hg: 0.000 0.000 0.231
Tc: 0.500 0.500 0.000
Y: 0.500 0.500 0.500

M_tot (μB/f.u.): 0.00
Relative energy among the computed polymorphs (kJ/mol of atoms): 0.0
Uncorrected energy (eV per atom): -4.732
DOS(E_F) (states/eV/atom): 0.516
E_form (meV/atom): 74

Entry 2:
Material: SrTiPS2
Method: DFT, GGA-PBEsol
State: optimized geometry

a b c (Å): 4.710 4.734 4.734
angles (deg): 90.00 90.00 90.00
Fractional coordinates of all 5 atoms:
Sr: 0.500 0.500 0.500
S: 0.000 0.000 0.500
S: 0.000 0.500 0.000
P: 0.500 0.000 0.000
Ti: 0.000 0.000 0.000

M_tot (μB/f.u.): 0.00
Uncorrected energy (eV per atom): -6.107
Raw formation energy (meV per atom): -1163
DOS(E_F) (states/eV/atom): 0.576